## ErSc5Ni4 (GGA-PBE)

Data for a geometry-optimized ErSc5Ni4 structure.

DOS at the Fermi energy (states/eV/f.u.): 10.9
ΔH_f (0 K) (meV per atom): -377.3
SG: No. 123
Spin magnetization (μB/f.u.): 0.00

Cell lengths 3.197, 3.197, 17.774 Å; angles 90.00, 90.00, 90.00 degrees
Positions (direct):
Sc: 0.500 0.500 0.322
Sc: 0.500 0.500 0.678
Er: 0.000 0.000 0.000
Sc: 0.500 0.500 0.500
Ni: 0.000 0.000 0.589
Sc: 0.500 0.500 0.853
Sc: 0.500 0.500 0.147
Ni: 0.000 0.000 0.411
Ni: 0.000 0.000 0.234
Ni: 0.000 0.000 0.766

## ErScNi4 (GGA-PBE)

Data for a geometry-optimized ErScNi4 structure.

DOS at the Fermi energy (states/eV/f.u.): 3.9
ΔH_f (0 K) (meV per atom): -497.2
SG: No. 216
Spin magnetization (μB/f.u.): 0.00

Cell lengths 4.965, 4.965, 4.965 Å; angles 60.00, 60.00, 60.00 degrees
Positions (direct):
Ni: 0.625 0.625 0.124
Ni: 0.124 0.625 0.625
Ni: 0.625 0.625 0.625
Er: 0.250 0.250 0.250
Ni: 0.625 0.124 0.625
Sc: 0.000 0.000 0.000

## Er2Sc5Ni2 (GGA-PBE)

Data for a geometry-optimized Er2Sc5Ni2 structure.

DOS at the Fermi energy (states/eV/f.u.): 14.4
ΔH_f (0 K) (meV per atom): -168.4
SG: No. 64
Spin magnetization (μB/f.u.): 0.00

Cell lengths 6.537, 6.501, 10.122 Å; angles 90.00, 71.16, 90.00 degrees
Positions (direct):
Ni: 0.873 0.626 0.000
Sc: 0.933 0.327 0.785
Sc: 0.000 0.000 0.000
Sc: 0.718 0.327 0.215
Sc: 0.067 0.673 0.215
Ni: 0.373 0.874 0.000
Ni: 0.627 0.126 0.000
Er: 0.771 0.000 0.459
Sc: 0.218 0.173 0.215
Sc: 0.500 0.500 0.000
Er: 0.229 0.000 0.541
Sc: 0.282 0.673 0.785
Sc: 0.782 0.827 0.785
Er: 0.729 0.500 0.541
Ni: 0.127 0.374 0.000
Er: 0.271 0.500 0.459
Sc: 0.567 0.827 0.215
Sc: 0.433 0.173 0.785

## Er6ScNi3 (GGA-PBE)

Data for a geometry-optimized Er6ScNi3 structure.

DOS at the Fermi energy (states/eV/f.u.): 9.9
ΔH_f (0 K) (meV per atom): -246.9
SG: No. 36
Spin magnetization (μB/f.u.): 0.00

Cell lengths 6.910, 8.382, 8.382 Å; angles 99.91, 90.00, 90.00 degrees
Positions (direct):
Ni: 0.375 0.413 0.587
Ni: 0.954 0.702 0.911
Er: 0.672 0.300 0.371
Er: 0.821 0.968 0.578
Er: 0.509 0.225 0.775
Er: 0.172 0.700 0.629
Ni: 0.454 0.911 0.702
Er: 0.655 0.964 0.036
Ni: 0.875 0.587 0.413
Sc: 0.550 0.677 0.323
Sc: 0.050 0.323 0.677
Er: 0.009 0.775 0.225
Ni: 0.454 0.298 0.089
Er: 0.672 0.629 0.700
Er: 0.172 0.371 0.300
Ni: 0.954 0.089 0.298
Er: 0.321 0.032 0.422
Er: 0.155 0.036 0.964
Er: 0.321 0.578 0.968
Er: 0.821 0.422 0.032

## ErSc5Ni2 (GGA-PBE)

Data for a geometry-optimized ErSc5Ni2 structure.

DOS at the Fermi energy (states/eV/f.u.): 10.0
ΔH_f (0 K) (meV per atom): -190.4
SG: No. 63
Spin magnetization (μB/f.u.): 0.00

Cell lengths 3.520, 6.220, 16.394 Å; angles 90.00, 90.00, 106.44 degrees
Positions (direct):
Ni: 0.259 0.518 0.876
Sc: 0.055 0.111 0.398
Sc: 0.945 0.889 0.898
Sc: 0.621 0.242 0.250
Sc: 0.379 0.758 0.750
Er: 0.355 0.711 0.250
Er: 0.645 0.289 0.750
Sc: 0.655 0.310 0.956
Sc: 0.345 0.690 0.456
Ni: 0.741 0.482 0.124
Sc: 0.345 0.690 0.044
Sc: 0.655 0.310 0.544
Ni: 0.259 0.518 0.624
Sc: 0.945 0.889 0.602
Sc: 0.055 0.111 0.102
Ni: 0.741 0.482 0.376

## ErSc2Ni2 (GGA-PBE)

Data for a geometry-optimized ErSc2Ni2 structure.

DOS at the Fermi energy (states/eV/f.u.): 4.3
ΔE to the lowest computed polymorph (meV per atom): 0
ΔH_f (0 K) (meV per atom): -354.7
SG: No. 11
Spin magnetization (μB/f.u.): 0.00

Cell lengths 4.375, 4.835, 9.882 Å; angles 106.91, 90.00, 90.00 degrees
Positions (direct):
Ni: 0.750 0.659 0.027
Ni: 0.250 0.341 0.973
Sc: 0.250 0.792 0.886
Er: 0.750 0.232 0.774
Sc: 0.250 0.286 0.519
Sc: 0.750 0.714 0.481
Sc: 0.750 0.208 0.114
Ni: 0.250 0.869 0.636
Er: 0.250 0.768 0.226
Ni: 0.750 0.131 0.364

## ErScSiNi (GGA-PBE)

Data for a geometry-optimized ErScSiNi structure.

ΔE_f (raw) (eV per formula unit): -2.1
DOS at the Fermi energy (states/eV/f.u.): 1.0
SG: No. 216
Spin magnetization (μB/f.u.): 0.00

Cell lengths 4.706, 4.706, 4.706 Å; angles 60.00, 60.00, 60.00 degrees
Positions (direct):
Er: 0.000 0.000 0.000
Sc: 0.500 0.500 0.500
Si: 0.750 0.750 0.750
Ni: 0.250 0.250 0.250

## ErScTlNi (GGA-PBE)

Data for a geometry-optimized ErScTlNi structure.

DOS at the Fermi energy (states/eV/f.u.): 3.9
ΔE to the lowest computed polymorph (meV per atom): 120
ΔH_f (0 K) (meV per atom): -251.9
SG: No. 216
Spin magnetization (μB/f.u.): 0.00

Cell lengths 4.950, 4.950, 4.950 Å; angles 60.00, 60.00, 60.00 degrees
Positions (direct):
Tl: 0.750 0.750 0.750
Er: 0.000 0.000 0.000
Sc: 0.500 0.500 0.500
Ni: 0.250 0.250 0.250

## ErScTlNi (GGA-PBE)

Data for a geometry-optimized ErScTlNi structure.

DOS at the Fermi energy (states/eV/f.u.): 4.4
ΔE to the lowest computed polymorph (meV per atom): 0
ΔH_f (0 K) (meV per atom): -372.4
SG: No. 99
Spin magnetization (μB/f.u.): 0.00

Cell lengths 3.386, 3.386, 7.380 Å; angles 90.00, 90.00, 90.00 degrees
Positions (direct):
Sc: 0.500 0.500 0.363
Tl: 0.000 0.000 0.091
Ni: 0.000 0.000 0.548
Er: 0.500 0.500 0.783

## ErScZnNi (GGA-PBE)

Data for a geometry-optimized ErScZnNi structure.

DOS at the Fermi energy (states/eV/f.u.): 3.7
ΔE to the lowest computed polymorph (meV per atom): 0
ΔH_f (0 K) (meV per atom): -408.8
SG: No. 99
Spin magnetization (μB/f.u.): 0.00

Cell lengths 3.339, 3.339, 6.756 Å; angles 90.00, 90.00, 90.00 degrees
Positions (direct):
Sc: 0.500 0.500 0.590
Er: 0.500 0.500 0.124
Zn: 0.000 0.000 0.834
Ni: 0.000 0.000 0.379

## ErScZnNi (GGA-PBE)

Data for a geometry-optimized ErScZnNi structure.

DOS at the Fermi energy (states/eV/f.u.): 3.0
ΔE to the lowest computed polymorph (meV per atom): 37
ΔH_f (0 K) (meV per atom): -372.2
SG: No. 216
Spin magnetization (μB/f.u.): 0.00

Cell lengths 4.745, 4.745, 4.745 Å; angles 60.00, 60.00, 60.00 degrees
Positions (direct):
Zn: 0.000 0.000 0.000
Er: 0.250 0.250 0.250
Ni: 0.500 0.500 0.500
Sc: 0.750 0.750 0.750

## Er3Ni5Se12 (GGA-PBE)

Data for a geometry-optimized Er3Ni5Se12 structure.

ΔE_f (raw) (eV per formula unit): -14.5
DOS at the Fermi energy (states/eV/f.u.): 17.9
SG: No. 230
Spin magnetization (μB/f.u.): 0.00

Cell lengths 13.126, 13.126, 13.126 Å; angles 109.47, 109.47, 109.47 degrees
Positions (direct):
Se: 0.796 0.325 0.915
Se: 0.175 0.091 0.971
Se: 0.704 0.585 0.175
Se: 0.415 0.296 0.325
Se: 0.915 0.825 0.796
Se: 0.381 0.409 0.085
Ni: 0.000 0.500 0.500
Se: 0.591 0.971 0.675
Se: 0.091 0.915 0.119
Se: 0.825 0.909 0.029
Ni: 0.500 0.000 0.500
Se: 0.085 0.909 0.381
Se: 0.471 0.796 0.881
Se: 0.675 0.204 0.585
Er: 0.875 0.125 0.250
Ni: 0.000 0.000 0.000
Er: 0.625 0.375 0.750
Se: 0.409 0.029 0.325
Se: 0.119 0.704 0.529
Se: 0.881 0.296 0.471
Ni: 0.000 0.000 0.500
Er: 0.875 0.750 0.125
Se: 0.796 0.471 0.381
Ni: 0.000 0.500 0.000
Ni: 0.750 0.125 0.875
Ni: 0.250 0.375 0.625
Er: 0.250 0.625 0.875
Ni: 0.500 0.500 0.000
Ni: 0.875 0.625 0.750
Ni: 0.875 0.250 0.625
Se: 0.909 0.825 0.529
Se: 0.029 0.409 0.825
Se: 0.296 0.415 0.825
Se: 0.091 0.175 0.471
Ni: 0.500 0.000 0.000
Se: 0.296 0.881 0.971
Ni: 0.625 0.750 0.875
Se: 0.529 0.325 0.909
Ni: 0.375 0.250 0.125
Se: 0.029 0.619 0.704
Se: 0.409 0.381 0.585
Er: 0.750 0.875 0.625
Se: 0.909 0.085 0.881
Se: 0.704 0.119 0.029
Se: 0.471 0.675 0.091
Se: 0.119 0.415 0.091
Ni: 0.250 0.875 0.125
Se: 0.971 0.591 0.175
Se: 0.675 0.471 0.591
Se: 0.591 0.619 0.415
Se: 0.204 0.675 0.085
Er: 0.375 0.750 0.625
Er: 0.750 0.375 0.125
Se: 0.175 0.085 0.704
Se: 0.619 0.591 0.915
Er: 0.125 0.250 0.875
Ni: 0.625 0.875 0.250
Ni: 0.500 0.500 0.500
Se: 0.381 0.971 0.796
Se: 0.085 0.175 0.204
Se: 0.881 0.585 0.909
Ni: 0.750 0.625 0.375
Er: 0.625 0.250 0.375
Se: 0.619 0.029 0.204
Se: 0.585 0.881 0.409
Se: 0.971 0.381 0.296
Se: 0.585 0.704 0.675
Se: 0.325 0.529 0.409
Se: 0.915 0.091 0.619
Se: 0.325 0.796 0.415
Ni: 0.375 0.125 0.750
Ni: 0.125 0.375 0.250
Se: 0.825 0.915 0.296
Se: 0.529 0.204 0.119
Er: 0.250 0.125 0.375
Se: 0.204 0.529 0.619
Ni: 0.125 0.750 0.375
Er: 0.375 0.625 0.250
Er: 0.125 0.875 0.750
Se: 0.415 0.119 0.591

## ErNiSe (GGA-PBE)

Data for a geometry-optimized ErNiSe structure.

ΔE_f (raw) (eV per formula unit): -2.1
DOS at the Fermi energy (states/eV/f.u.): 3.0
SG: No. 84
Spin magnetization (μB/f.u.): 0.00

Cell lengths 3.775, 7.787, 7.787 Å; angles 90.00, 90.00, 90.00 degrees
Positions (direct):
Se: 0.000 0.082 0.681
Ni: 0.000 0.138 0.107
Ni: 0.000 0.862 0.893
Er: 0.500 0.214 0.425
Ni: 0.500 0.893 0.138
Se: 0.000 0.918 0.319
Er: 0.500 0.786 0.575
Ni: 0.500 0.107 0.862
Er: 0.000 0.575 0.214
Se: 0.500 0.319 0.082
Er: 0.000 0.425 0.786
Se: 0.500 0.681 0.918

## Er2NiSe (GGA-PBE)

Data for a geometry-optimized Er2NiSe structure.

ΔE_f (raw) (eV per formula unit): -4.0
DOS at the Fermi energy (states/eV/f.u.): 1.0
ΔE to the lowest computed polymorph (meV per atom): 82
SG: No. 160
Spin magnetization (μB/f.u.): 0.00

Cell lengths 3.905, 3.905, 7.273 Å; angles 74.43, 74.43, 60.00 degrees
Positions (direct):
Ni: 0.666 0.666 0.001
Se: 0.500 0.500 0.500
Er: 0.073 0.073 0.782
Er: 0.261 0.261 0.216

## Er3NiSe (GGA-PBE)

Data for a geometry-optimized Er3NiSe structure.

ΔE_f (raw) (eV per formula unit): -4.2
DOS at the Fermi energy (states/eV/f.u.): 4.1
SG: No. 11
Spin magnetization (μB/f.u.): 0.00

Cell lengths 3.812, 8.209, 7.736 Å; angles 106.49, 90.00, 90.00 degrees
Positions (direct):
Er: 0.250 0.750 0.922
Er: 0.750 0.404 0.666
Er: 0.250 0.063 0.693
Er: 0.250 0.596 0.334
Er: 0.750 0.250 0.078
Se: 0.250 0.236 0.378
Ni: 0.250 0.411 0.930
Ni: 0.750 0.589 0.070
Se: 0.750 0.764 0.622
Er: 0.750 0.937 0.307

## Er6NiSe5 (GGA-PBE)

Data for a geometry-optimized Er6NiSe5 structure.

ΔE_f (raw) (eV per formula unit): -18.4
DOS at the Fermi energy (states/eV/f.u.): 4.5
SG: No. 12
Spin magnetization (μB/f.u.): 0.00

Cell lengths 7.006, 7.031, 7.022 Å; angles 59.96, 80.29, 70.31 degrees
Positions (direct):
Er: 0.237 0.229 0.000
Er: 0.763 0.771 0.000
Se: 0.000 0.665 0.670
Se: 0.500 0.822 0.356
Er: 0.768 0.384 0.692
Se: 0.500 0.500 0.000
Er: 0.232 0.616 0.308
Se: 0.000 0.335 0.330
Ni: 0.000 0.000 0.000
Er: 0.768 0.076 0.308
Se: 0.500 0.178 0.644
Er: 0.232 0.924 0.692

## Er2NiSe (GGA-PBE)

Data for a geometry-optimized Er2NiSe structure.

ΔE_f (raw) (eV per formula unit): -4.1
DOS at the Fermi energy (states/eV/f.u.): 2.0
ΔE to the lowest computed polymorph (meV per atom): 65
SG: No. 166
Spin magnetization (μB/f.u.): 0.00

Cell lengths 3.864, 3.864, 7.319 Å; angles 74.69, 74.69, 60.00 degrees
Positions (direct):
Ni: 0.000 0.000 0.000
Er: 0.742 0.742 0.775
Se: 0.500 0.500 0.500
Er: 0.258 0.258 0.225

## Er5NiSe4 (GGA-PBE)

Data for a geometry-optimized Er5NiSe4 structure.

ΔE_f (raw) (eV per formula unit): -14.6
DOS at the Fermi energy (states/eV/f.u.): 7.8
SG: No. 87
Spin magnetization (μB/f.u.): 0.00

Cell lengths 5.726, 6.985, 6.985 Å; angles 80.33, 65.80, 65.80 degrees
Positions (direct):
Ni: 0.001 0.000 0.000
Er: 0.724 0.182 0.373
Er: 0.279 0.818 0.627
Se: 0.808 0.784 0.602
Se: 0.194 0.216 0.398
Er: 0.905 0.373 0.818
Er: 0.501 0.000 0.000
Se: 0.410 0.398 0.784
Er: 0.097 0.627 0.182
Se: 0.592 0.602 0.216

## Er4NiSe3 (GGA-PBE)

Data for a geometry-optimized Er4NiSe3 structure.

ΔE_f (raw) (eV per formula unit): -11.1
DOS at the Fermi energy (states/eV/f.u.): 4.6
SG: No. 65
Spin magnetization (μB/f.u.): 0.00

Cell lengths 3.911, 7.077, 7.077 Å; angles 108.48, 90.00, 90.00 degrees
Positions (direct):
Er: 0.000 0.223 0.223
Ni: 0.500 0.000 0.000
Se: 0.000 0.000 0.500
Er: 0.000 0.777 0.777
Er: 0.500 0.760 0.240
Se: 0.000 0.500 0.000
Se: 0.500 0.500 0.500
Er: 0.500 0.240 0.760

## ErNiSe2 (GGA-PBE)

Data for a geometry-optimized ErNiSe2 structure.

ΔE_f (raw) (eV per formula unit): -1.5
DOS at the Fermi energy (states/eV/f.u.): 3.2
SG: No. 166
Spin magnetization (μB/f.u.): 0.00

Cell lengths 3.620, 3.620, 8.367 Å; angles 77.51, 77.51, 60.00 degrees
Positions (direct):
Se: 0.115 0.115 0.656
Ni: 0.500 0.500 0.500
Er: 0.000 0.000 0.000
Se: 0.885 0.885 0.344

## Er2NiSe (GGA-PBE)

Data for a geometry-optimized Er2NiSe structure.

ΔE_f (raw) (eV per formula unit): -3.4
DOS at the Fermi energy (states/eV/f.u.): 2.5
ΔE to the lowest computed polymorph (meV per atom): 224
SG: No. 123
Spin magnetization (μB/f.u.): 0.00

Cell lengths 3.459, 3.459, 6.961 Å; angles 90.00, 90.00, 90.00 degrees
Positions (direct):
Er: 0.000 0.000 0.231
Se: 0.500 0.500 0.500
Ni: 0.500 0.500 0.000
Er: 0.000 0.000 0.769